one) The following is a PBE calculation of a geometry-optimized Ce2TcI structure, from Alexandria via LeMat-Bulk.

Computed properties:
Total moment   1.5 μB/cell

CIF file:
```
data_Ce2TcI
_symmetry_space_group_name_H-M 'P 4/m m m'
_symmetry_Int_Tables_number 123
_symmetry_space_group_name_Hall '-P 4 2'
_cell_length_a 3.507
_cell_length_b 3.507
_cell_length_c 8.317
_cell_angle_alpha 90.00
_cell_angle_beta 90.00
_cell_angle_gamma 90.00
loop_
_atom_site_label
_atom_site_type_symbol
_atom_site_fract_x
_atom_site_fract_y
_atom_site_fract_z
Ce1 Ce 0.000 0.000 0.205
Tc1 Tc 0.500 0.500 0.000
I1 I 0.500 0.500 0.500
```

two) The following is a PBE calculation of a geometry-optimized Ce2TcI structure, from Alexandria via LeMat-Bulk.

Computed properties:
Total moment   1.6 μB/cell

CIF file:
```
data_Ce2TcI
_symmetry_space_group_name_H-M 'R 3 m'
_symmetry_Int_Tables_number 160
_symmetry_space_group_name_Hall 'R 3 -2"'
_cell_length_a 4.0487
_cell_length_b 4.0487
_cell_length_c 24.1940
_cell_angle_alpha 90.00
_cell_angle_beta 90.00
_cell_angle_gamma 120.00
loop_
_atom_site_label
_atom_site_type_symbol
_atom_site_fract_x
_atom_site_fract_y
_atom_site_fract_z
Ce1 Ce 0.0000 0.0000 0.0000
Ce2 Ce 0.0000 0.0000 0.2100
Tc1 Tc 0.0000 0.0000 0.6102
I1 I 0.0000 0.0000 0.4388
```

three) The following is a PBE calculation of a geometry-optimized Ce2TcI structure, from Alexandria via LeMat-Bulk.

Computed properties:
Total moment   1.5 μB/cell

CIF file:
```
data_Ce2TcI
_symmetry_space_group_name_H-M 'R -3 m'
_symmetry_Int_Tables_number 166
_symmetry_space_group_name_Hall '-R 3 2"'
_cell_length_a 4.0791
_cell_length_b 4.0791
_cell_length_c 23.9580
_cell_angle_alpha 90.00
_cell_angle_beta 90.00
_cell_angle_gamma 120.00
loop_
_atom_site_label
_atom_site_type_symbol
_atom_site_fract_x
_atom_site_fract_y
_atom_site_fract_z
Ce1 Ce 0.0000 0.0000 0.2282
Tc1 Tc 0.0000 0.0000 0.5000
I1 I 0.0000 0.0000 0.0000
```

Least stable: one)

one) The following is a PBE calculation of a geometry-optimized CeYI structure, from Alexandria via LeMat-Bulk.

Computed properties:
Total moment   0.0 μB/cell

CIF file:
```
data_CeYI
_symmetry_space_group_name_H-M 'C 1 2/m 1'
_symmetry_Int_Tables_number 12
_cell_length_a 5.322
_cell_length_b 5.965
_cell_length_c 12.895
_cell_angle_alpha 90.00
_cell_angle_beta 101.84
_cell_angle_gamma 90.00
loop_
_symmetry_equiv_pos_as_xyz
'x,y,z'
'-x,-y,-z'
'-x,y,-z'
'x,-y,z'
'x+1/2,y+1/2,z'
'-x+1/2,-y+1/2,-z'
'-x+1/2,y+1/2,-z'
'x+1/2,-y+1/2,z'
loop_
_atom_site_label
_atom_site_type_symbol
_atom_site_fract_x
_atom_site_fract_y
_atom_site_fract_z
Ce1 Ce 0.000 0.227 0.000
Y1 Y 0.109 0.500 0.220
I1 I 0.175 0.000 0.352
```

two) The following is a PBE calculation of a geometry-optimized CeYI structure, from Alexandria via LeMat-Bulk.

Computed properties:
Total moment   2.0 μB/cell

CIF file:
```
data_CeYI
_symmetry_space_group_name_H-M 'P 3 m 1'
_symmetry_Int_Tables_number 156
_cell_length_a 5.3922
_cell_length_b 5.3922
_cell_length_c 3.7465
_cell_angle_alpha 90.00
_cell_angle_beta 90.00
_cell_angle_gamma 120.00
loop_
_symmetry_equiv_pos_as_xyz
'x,y,z'
'-y,x-y,z'
'-x+y,-x,z'
'-y,-x,z'
'-x+y,y,z'
'x,x-y,z'
loop_
_atom_site_label
_atom_site_type_symbol
_atom_site_fract_x
_atom_site_fract_y
_atom_site_fract_z
Ce1 Ce 0.0000 0.0000 0.0000
Y1 Y 0.6667 0.3333 0.5000
I1 I 0.3333 0.6667 0.5015
```

Least stable: two)

one) The following is a PBE calculation of a geometry-optimized CeIn4 structure, from Alexandria via LeMat-Bulk.

Computed properties:
Total moment   3.5 μB/cell

CIF file:
```
data_CeIn4
_symmetry_space_group_name_H-M 'I m m a'
_symmetry_Int_Tables_number 74
_symmetry_space_group_name_Hall '-I 2b 2'
_cell_length_a 4.872
_cell_length_b 6.809
_cell_length_c 15.787
_cell_angle_alpha 90.00
_cell_angle_beta 90.00
_cell_angle_gamma 90.00
loop_
_atom_site_label
_atom_site_type_symbol
_atom_site_fract_x
_atom_site_fract_y
_atom_site_fract_z
Ce1 Ce 0.000 0.250 0.106
In1 In 0.000 0.000 0.500
In2 In 0.000 0.011 0.697
In3 In 0.000 0.250 0.895
```

two) The following is a PBE calculation of a geometry-optimized CeIn4 structure, from Alexandria via LeMat-Bulk.

Computed properties:
Total moment   1.6 μB/cell

CIF file:
```
data_CeIn4
_symmetry_space_group_name_H-M 'P m -3 m'
_symmetry_Int_Tables_number 221
_symmetry_space_group_name_Hall '-P 4 2 3'
_cell_length_a 6.029
_cell_length_b 6.029
_cell_length_c 6.029
_cell_angle_alpha 90.00
_cell_angle_beta 90.00
_cell_angle_gamma 90.00
loop_
_atom_site_label
_atom_site_type_symbol
_atom_site_fract_x
_atom_site_fract_y
_atom_site_fract_z
Ce1 Ce 0.000 0.000 0.000
In1 In 0.000 0.000 0.500
In2 In 0.500 0.500 0.500
```

Least stable: two)

one) The following is a PBE calculation of a geometry-optimized Ce8In structure, from Alexandria via LeMat-Bulk.

Computed properties:
Total moment   0.0 μB/cell

CIF file:
```
data_Ce8In
_symmetry_space_group_name_H-M 'I 4/m m m'
_symmetry_Int_Tables_number 139
_symmetry_space_group_name_Hall '-I 4 2'
_cell_length_a 11.946
_cell_length_b 11.946
_cell_length_c 3.225
_cell_angle_alpha 90.00
_cell_angle_beta 90.00
_cell_angle_gamma 90.00
loop_
_atom_site_label
_atom_site_type_symbol
_atom_site_fract_x
_atom_site_fract_y
_atom_site_fract_z
Ce1 Ce 0.000 0.327 0.000
Ce2 Ce 0.174 0.174 0.500
In1 In 0.000 0.000 0.000
```

two) The following is a PBE calculation of a geometry-optimized Ce8In structure, from Alexandria via LeMat-Bulk.

Computed properties:
Total moment   0.0 μB/cell

CIF file:
```
data_Ce8In
_symmetry_space_group_name_H-M 'I 4/m m m'
_symmetry_Int_Tables_number 139
_symmetry_space_group_name_Hall '-I 4 2'
_cell_length_a 10.200
_cell_length_b 10.200
_cell_length_c 4.527
_cell_angle_alpha 90.00
_cell_angle_beta 90.00
_cell_angle_gamma 90.00
loop_
_atom_site_label
_atom_site_type_symbol
_atom_site_fract_x
_atom_site_fract_y
_atom_site_fract_z
Ce1 Ce 0.000 0.328 0.000
Ce2 Ce 0.172 0.172 0.500
In1 In 0.000 0.000 0.000
```

Least stable: one)

one) The following is a PBE calculation of a geometry-optimized Ce2In3 structure, from Alexandria via LeMat-Bulk.

Computed properties:
Total moment   5.6 μB/cell

CIF file:
```
data_Ce2In3
_symmetry_space_group_name_H-M 'I 4/m m m'
_symmetry_Int_Tables_number 139
_symmetry_space_group_name_Hall '-I 4 2'
_cell_length_a 3.537
_cell_length_b 3.537
_cell_length_c 21.991
_cell_angle_alpha 90.00
_cell_angle_beta 90.00
_cell_angle_gamma 90.00
loop_
_atom_site_label
_atom_site_type_symbol
_atom_site_fract_x
_atom_site_fract_y
_atom_site_fract_z
Ce1 Ce 0.000 0.000 0.103
In1 In 0.000 0.000 0.294
In2 In 0.000 0.000 0.500
```

two) The following is a PBE calculation of a geometry-optimized Ce2In3 structure, from Alexandria via LeMat-Bulk.

Computed properties:
Total moment   3.4 μB/cell

CIF file:
```
data_Ce2In3
_symmetry_space_group_name_H-M 'P 4/m b m'
_symmetry_Int_Tables_number 127
_symmetry_space_group_name_Hall '-P 4 2ab'
_cell_length_a 7.725
_cell_length_b 7.725
_cell_length_c 4.791
_cell_angle_alpha 90.00
_cell_angle_beta 90.00
_cell_angle_gamma 90.00
loop_
_atom_site_label
_atom_site_type_symbol
_atom_site_fract_x
_atom_site_fract_y
_atom_site_fract_z
Ce1 Ce 0.168 0.332 0.000
In1 In 0.000 0.000 0.500
In2 In 0.132 0.632 0.500
```

Least stable: one)

one) The following is a PBE calculation of a geometry-optimized Ce3In2 structure, from Alexandria via LeMat-Bulk.

Computed properties:
Total moment   15.6 μB/cell

CIF file:
```
data_Ce3In2
_symmetry_space_group_name_H-M 'F d d 2'
_symmetry_Int_Tables_number 43
_symmetry_space_group_name_Hall 'F 2 -2d'
_cell_length_a 11.671
_cell_length_b 15.743
_cell_length_c 5.956
_cell_angle_alpha 90.00
_cell_angle_beta 90.00
_cell_angle_gamma 90.00
loop_
_atom_site_label
_atom_site_type_symbol
_atom_site_fract_x
_atom_site_fract_y
_atom_site_fract_z
Ce1 Ce 0.000 0.000 0.000
Ce2 Ce 0.033 0.086 0.483
In1 In 0.018 0.206 0.950
```

two) The following is a PBE calculation of a geometry-optimized Ce3In2 structure, from Alexandria via LeMat-Bulk.

Computed properties:
Total moment   7.7 μB/cell

CIF file:
```
data_Ce3In2
_symmetry_space_group_name_H-M 'C m c 21'
_symmetry_Int_Tables_number 36
_cell_length_a 7.470
_cell_length_b 9.293
_cell_length_c 8.267
_cell_angle_alpha 90.00
_cell_angle_beta 90.00
_cell_angle_gamma 90.00
loop_
_symmetry_equiv_pos_as_xyz
'x,y,z'
'-x,-y,z+1/2'
'-x,y,z'
'x,-y,z+1/2'
'x+1/2,y+1/2,z'
'-x+1/2,-y+1/2,z+1/2'
'-x+1/2,y+1/2,z'
'x+1/2,-y+1/2,z+1/2'
loop_
_atom_site_label
_atom_site_type_symbol
_atom_site_fract_x
_atom_site_fract_y
_atom_site_fract_z
Ce1 Ce 0.000 0.227 0.000
Ce2 Ce 0.241 0.112 0.789
In1 In 0.000 0.131 0.434
In2 In 0.000 0.385 0.628
```

Least stable: two)